Entry 1:
V2PdPt, optimized geometry, DFT GGA-PBE; DOS(E_F) = 3.107 states/eV per cell; energy relative to the elements = -1.50 eV per formula unit; volume = 14.28 Å³ per atom
1.0
-0.098 1.185 -2.422
1.725 -1.835 -0.967
-6.027 -4.606 -2.009
Pd Pt V
1 1 2
direct
0.500 0.500 0.000
0.500 0.500 0.500
0.000 0.000 0.749
0.000 0.000 0.251

Entry 2:
VPd3Pt4, optimized geometry, DFT GGA-PBE; polymorph energy (0 for the lowest one) = 156 meV/atom; DOS(E_F) = 11.061 states/eV per cell; energy relative to the elements = -0.85 eV per formula unit; volume = 15.49 Å³ per atom
1.0
-4.038 2.134 1.181
-0.966 -0.392 -2.593
-0.148 -8.758 5.899
V Pd Pt
1 3 4
direct
0.500 0.000 0.000
0.000 0.500 0.000
0.253 0.259 0.506
0.747 0.741 0.494
0.617 0.850 0.233
0.383 0.150 0.767
0.874 0.622 0.748
0.126 0.378 0.252

Entry 3:
V2Pd2Pt3, optimized geometry, DFT GGA-PBE; DOS(E_F) = 5.867 states/eV per cell; energy relative to the elements = -1.73 eV per formula unit; volume = 15.43 Å³ per atom
1.0
-1.100 -2.487 -0.214
1.613 -0.886 2.011
-10.693 2.400 9.636
V Pd Pt
2 2 3
direct
0.145 0.500 0.709
0.855 0.500 0.291
0.419 0.000 0.165
0.581 0.000 0.835
0.292 0.000 0.416
0.000 0.000 0.000
0.708 0.000 0.584

Entry 4:
VPd4Pt, optimized geometry, DFT GGA-PBE; polymorph energy (0 for the lowest one) = 110 meV/atom; DOS(E_F) = 12.447 states/eV per cell; energy relative to the elements = -0.57 eV per formula unit; volume = 15.53 Å³ per atom
1.0
5.262 1.457 0.000
1.240 5.049 0.000
0.000 0.000 7.527
V Pd Pt
2 8 2
direct
0.000 0.250 0.750
0.000 0.750 0.250
0.242 0.489 0.932
0.242 0.490 0.568
0.758 0.011 0.932
0.758 0.510 0.432
0.758 0.010 0.568
0.242 0.989 0.068
0.242 0.990 0.432
0.758 0.511 0.068
0.500 0.250 0.250
0.500 0.750 0.750

Entry 5:
V2Pd2Pt7, optimized geometry, DFT GGA-PBE; DOS(E_F) = 7.609 states/eV per cell; energy relative to the elements = -2.29 eV per formula unit; volume = 15.80 Å³ per atom
1.0
-3.324 3.440 2.511
2.513 -2.974 4.888
3.888 3.582 -1.111
V Pd Pt
2 2 7
direct
0.714 0.500 0.286
0.286 0.500 0.714
0.828 0.544 0.828
0.172 0.456 0.172
0.082 0.802 0.528
0.472 0.198 0.918
0.918 0.198 0.472
0.528 0.802 0.082
0.000 0.000 0.000
0.414 0.177 0.414
0.586 0.823 0.586

Entry 6:
V2Pd7Pt3, optimized geometry, DFT GGA-PBE; DOS(E_F) = 10.427 states/eV per cell; energy relative to the elements = -1.32 eV per formula unit; volume = 15.52 Å³ per atom
1.0
-3.436 14.139 4.229
2.614 -14.925 0.116
2.662 0.471 0.589
V Pd Pt
2 7 3
direct
0.649 0.351 0.500
0.351 0.649 0.500
0.728 0.272 0.500
0.272 0.728 0.500
0.577 0.423 0.000
0.000 0.000 0.000
0.423 0.577 0.000
0.901 0.099 0.500
0.099 0.901 0.500
0.500 0.500 0.500
0.182 0.818 0.000
0.818 0.182 0.000

Entry 7:
V2PdPt, optimized geometry, DFT GGA-PBE; DOS(E_F) = 4.769 states/eV per cell; energy relative to the elements = -1.52 eV per formula unit; volume = 14.25 Å³ per atom
1.0
3.914 0.000 0.000
0.000 3.817 0.000
0.000 0.000 3.817
Pd Pt V
1 1 2
direct
0.500 0.500 0.500
0.500 0.000 0.000
0.000 0.000 0.500
0.000 0.500 0.000

Entry 8:
VPd4Pt2, optimized geometry, DFT GGA-PBE; polymorph energy (0 for the lowest one) = 0 meV/atom; DOS(E_F) = 14.318 states/eV per cell; energy relative to the elements = -0.68 eV per formula unit; volume = 15.54 Å³ per atom
1.0
-4.625 0.110 -2.118
0.378 -4.876 1.405
-1.318 4.311 7.975
V Pd Pt
2 8 4
direct
0.895 0.395 0.500
0.645 0.645 0.000
0.308 0.703 0.745
0.953 0.058 0.245
0.212 0.238 0.841
0.488 0.962 0.341
0.620 0.147 0.659
0.959 0.564 0.255
0.814 0.709 0.755
0.397 0.370 0.159
0.423 0.521 0.471
0.051 0.952 0.529
0.202 0.801 0.029
0.771 0.173 0.971

Entry 9:
VPd2Pt4, optimized geometry, DFT GGA-PBE; DOS(E_F) = 7.260 states/eV per cell; energy relative to the elements = -1.82 eV per formula unit; volume = 15.13 Å³ per atom
1.0
3.905 0.000 0.000
1.953 4.385 -0.389
0.000 -0.351 6.213
V Pd Pt
1 2 4
direct
0.000 0.000 0.000
0.714 0.572 0.865
0.286 0.428 0.135
0.434 0.133 0.722
0.144 0.711 0.579
0.566 0.867 0.278
0.856 0.289 0.421

Entry 10:
VPdPt, optimized geometry, DFT GGA-PBE; polymorph energy (0 for the lowest one) = 149 meV/atom; DOS(E_F) = 10.954 states/eV per cell; energy relative to the elements = -0.77 eV per formula unit; volume = 15.27 Å³ per atom
1.0
5.311 0.000 0.000
0.000 5.383 -0.105
0.000 -0.932 6.429
Pt V Pd
4 4 4
direct
0.500 0.291 0.845
0.000 0.209 0.155
0.500 0.709 0.155
0.000 0.791 0.845
0.000 0.697 0.204
0.500 0.197 0.204
0.000 0.303 0.796
0.500 0.803 0.796
0.248 0.000 0.500
0.252 0.500 0.500
0.752 0.000 0.500
0.748 0.500 0.500

Entry 11:
VPd2Pt3, optimized geometry, DFT GGA-PBE; polymorph energy (0 for the lowest one) = 185 meV/atom; DOS(E_F) = 13.494 states/eV per cell; energy relative to the elements = -0.82 eV per formula unit; volume = 15.52 Å³ per atom
1.0
-0.229 3.322 3.796
1.909 -3.777 3.420
5.387 3.870 -3.061
V Pd Pt
2 4 6
direct
0.750 0.347 0.695
0.250 0.653 0.305
0.000 0.745 0.000
0.500 0.255 0.000
0.000 0.255 0.000
0.500 0.745 0.000
0.750 0.850 0.700
0.250 0.150 0.300
0.750 0.928 0.360
0.250 0.072 0.640
0.750 0.432 0.360
0.250 0.568 0.640

Entry 12:
VPdPt4, optimized geometry, DFT GGA-PBE; polymorph energy (0 for the lowest one) = 0 meV/atom; DOS(E_F) = 13.647 states/eV per cell; energy relative to the elements = -1.76 eV per formula unit; volume = 15.16 Å³ per atom
1.0
-6.087 0.275 3.362
-1.670 -4.588 -2.649
3.583 -0.395 4.250
V Pd Pt
2 2 8
direct
0.331 0.135 0.269
0.669 0.865 0.731
0.658 0.355 0.710
0.342 0.645 0.290
0.014 0.248 0.497
0.662 0.355 0.218
0.000 0.247 0.000
0.338 0.137 0.782
0.986 0.752 0.503
0.338 0.645 0.782
0.000 0.753 0.000
0.662 0.863 0.218

Entry 13:
V4Pd7Pt6, optimized geometry, DFT GGA-PBE; DOS(E_F) = 22.230 states/eV per cell; energy relative to the elements = 1.23 eV per formula unit; volume = 16.30 Å³ per atom
1.0
6.707 0.000 -2.371
-3.353 5.808 -2.371
0.000 0.000 7.114
V Pd Pt
4 7 6
direct
0.500 0.000 0.000
0.500 0.500 0.500
0.000 0.500 0.000
0.000 0.000 0.500
0.750 0.500 0.250
0.250 0.750 0.500
0.500 0.750 0.250
0.750 0.250 0.500
0.250 0.500 0.750
0.500 0.250 0.750
0.000 0.000 0.000
0.702 0.000 0.702
0.702 0.702 0.000
0.000 0.298 0.298
0.298 0.000 0.298
0.298 0.298 0.000
0.000 0.702 0.702

Entry 14:
VPd5Pt8, optimized geometry, DFT GGA-PBE; DOS(E_F) = 16.027 states/eV per cell; energy relative to the elements = 0.22 eV per formula unit; volume = 16.28 Å³ per atom
1.0
6.665 0.049 -0.084
-2.209 6.288 0.084
-2.247 -3.155 5.424
V Pd Pt
1 5 8
direct
0.250 0.500 0.750
0.948 0.417 0.143
0.857 0.805 0.274
0.726 0.583 0.532
0.500 0.000 0.500
0.468 0.195 0.052
0.105 0.774 0.998
0.002 0.106 0.776
0.835 0.213 0.407
0.593 0.427 0.806
0.378 0.573 0.165
0.670 0.894 0.895
0.224 0.226 0.330
0.194 0.787 0.622

Entry 15:
VPdPt4, optimized geometry, DFT GGA-PBE; polymorph energy (0 for the lowest one) = 69 meV/atom; DOS(E_F) = 6.280 states/eV per cell; energy relative to the elements = -1.34 eV per formula unit; volume = 15.58 Å³ per atom
1.0
-1.403 -2.423 -3.758
1.389 -2.591 -3.650
-0.539 -8.498 0.730
V Pd Pt
1 1 4
direct
0.000 0.000 0.000
0.500 0.500 0.500
0.211 0.211 0.153
0.789 0.789 0.847
0.147 0.147 0.666
0.853 0.853 0.334

Entry 16:
V2PdPt4, optimized geometry, DFT GGA-PBE; polymorph energy (0 for the lowest one) = 0 meV/atom; DOS(E_F) = 13.432 states/eV per cell; energy relative to the elements = -2.72 eV per formula unit; volume = 14.95 Å³ per atom
1.0
-4.773 -0.237 3.950
3.620 -3.517 2.209
2.364 6.953 0.284
V Pd Pt
4 2 8
direct
0.580 0.318 0.622
0.729 0.939 0.310
0.726 0.452 0.314
0.034 0.235 0.756
0.146 0.864 0.466
0.884 0.091 0.038
0.144 0.356 0.464
0.315 0.523 0.176
0.995 0.697 0.729
0.612 0.830 0.604
0.334 0.040 0.211
0.440 0.160 0.888
0.443 0.663 0.887
0.868 0.582 0.033

Entry 17:
VPd4Pt3, optimized geometry, DFT GGA-PBE; polymorph energy (0 for the lowest one) = 6 meV/atom; DOS(E_F) = 16.594 states/eV per cell; energy relative to the elements = -2.01 eV per formula unit; volume = 15.14 Å³ per atom
1.0
-0.726 -3.757 -0.807
6.371 -2.115 4.115
-4.386 -0.551 6.508
Pt Pd V
6 8 2
direct
0.564 0.617 0.000
0.064 0.623 0.255
0.564 0.377 0.245
0.064 0.383 0.500
0.564 0.377 0.755
0.064 0.623 0.745
0.064 0.874 0.000
0.564 0.132 0.000
0.064 0.130 0.248
0.564 0.870 0.252
0.064 0.868 0.500
0.564 0.126 0.500
0.564 0.870 0.748
0.064 0.130 0.752
0.064 0.383 0.000
0.564 0.617 0.500

Entry 18:
VPd2Pt5, optimized geometry, DFT GGA-PBE; polymorph energy (0 for the lowest one) = 0 meV/atom; DOS(E_F) = 19.357 states/eV per cell; energy relative to the elements = -2.04 eV per formula unit; volume = 15.22 Å³ per atom
1.0
-1.448 -3.615 0.181
4.732 -1.775 2.388
-4.263 2.213 10.091
V Pd Pt
2 4 10
direct
0.000 0.000 0.500
0.000 0.500 0.000
0.500 0.248 0.624
0.500 0.752 0.376
0.500 0.252 0.124
0.500 0.748 0.876
0.000 0.000 0.000
0.000 0.500 0.500
0.000 0.497 0.758
0.000 0.503 0.242
0.000 0.003 0.258
0.000 0.997 0.742
0.500 0.255 0.881
0.500 0.745 0.119
0.500 0.245 0.381
0.500 0.755 0.619

Entry 19:
V3PdPt, optimized geometry, DFT GGA-PBE; polymorph energy (0 for the lowest one) = 0 meV/atom; DOS(E_F) = 7.911 states/eV per cell; energy relative to the elements = 5.15 eV per formula unit; volume = 20.69 Å³ per atom
1.0
4.695 0.000 0.000
0.000 4.695 0.000
0.000 0.000 4.695
Pt Pd V
1 1 3
direct
0.000 0.000 0.000
0.500 0.500 0.500
0.000 0.500 0.000
0.000 0.000 0.500
0.500 0.000 0.000

Entry 20:
V2PdPt2, optimized geometry, DFT GGA-PBE; polymorph energy (0 for the lowest one) = 88 meV/atom; DOS(E_F) = 12.305 states/eV per cell; energy relative to the elements = -1.47 eV per formula unit; volume = 15.27 Å³ per atom
1.0
-0.704 0.955 -7.366
5.996 -4.293 -1.130
-1.612 -2.216 -0.133
Pt Pd V
4 2 4
direct
0.174 0.674 0.500
0.674 0.826 0.500
0.826 0.326 0.500
0.326 0.174 0.500
0.000 0.000 0.000
0.500 0.500 0.000
0.383 0.883 0.000
0.883 0.617 0.000
0.617 0.117 0.000
0.117 0.383 0.000